No. 1
DFT (PBE) results for an optimized crystal structure of Pr5Ga2Ag.

D(E_F): 19.2 states/eV/cell
Formation energy: -248.5 meV/atom
Crystal system: tetragonal
Polymorph energy (0 for the lowest one): 88 meV per atom
DFT total energy: -69.58 eV per cell
Space group: I4/mmm

Cell: 7.117 7.117 8.797 Å, 90.00 90.00 90.00°
Sites, in units of the cell vectors:
Pr1 0.000 0.000 0.000
Pr2 0.250 0.250 0.250
Pr3 0.250 0.250 0.750
Pr4 0.250 0.750 0.250
Pr5 0.250 0.750 0.750
Pr6 0.500 0.500 0.500
Pr7 0.750 0.250 0.250
Pr8 0.750 0.250 0.750
Pr9 0.750 0.750 0.250
Pr10 0.750 0.750 0.750
Ga1 0.000 0.500 0.000
Ga2 0.000 0.500 0.500
Ga3 0.500 0.000 0.000
Ga4 0.500 0.000 0.500
Ag1 0.000 0.000 0.500
Ag2 0.500 0.500 0.000



No. 2
DFT (PBE) results for an optimized crystal structure of Tl3Tc.

D(E_F): 3.0 states/eV/cell
Formation energy: 494.6 meV/atom
Crystal system: cubic
Polymorph energy (0 for the lowest one): 97 meV per atom
DFT total energy: -15.49 eV per cell
Space group: Pm-3m

Cell: 5.341 5.341 5.341 Å, 90.00 90.00 90.00°
Sites, in units of the cell vectors:
Tl1 0.000 0.000 0.500
Tl2 0.000 0.500 0.000
Tl3 0.500 0.000 0.000
Tc1 0.000 0.000 0.000



No. 3
DFT (PBE) results for an optimized crystal structure of LaYNi3.

D(E_F): 10.3 states/eV/cell
Formation energy: -369.1 meV/atom
Crystal system: orthorhombic
Polymorph energy (0 for the lowest one): 0 meV per atom
DFT total energy: -61.16 eV per cell
Space group: Cmcm

Cell: 12.430 12.430 4.042 Å, 90.00 90.00 161.61°
Sites, in units of the cell vectors:
La1 0.073 0.927 0.750
La2 0.927 0.073 0.250
Y1 0.205 0.795 0.250
Y2 0.795 0.205 0.750
Ni1 0.324 0.676 0.250
Ni2 0.377 0.623 0.750
Ni3 0.474 0.526 0.750
Ni4 0.526 0.474 0.250
Ni5 0.623 0.377 0.250
Ni6 0.676 0.324 0.750



No. 4
DFT (PBE) results for an optimized crystal structure of KTlAg2F5.

D(E_F): 1.3 states/eV/cell
Crystal system: tetragonal
Formation energy (no corrections): -14.74 eV/f.u.
DFT total energy: -33.26 eV per cell
Space group: P4/mmm

Cell: 4.411 4.411 8.501 Å, 90.00 90.00 90.00°
Sites, in units of the cell vectors:
K1 0.000 0.000 0.000
Tl1 0.000 0.000 0.500
Ag1 0.500 0.500 0.219
Ag2 0.500 0.500 0.781
F1 0.000 0.500 0.196
F2 0.000 0.500 0.804
F3 0.500 0.000 0.196
F4 0.500 0.000 0.804
F5 0.500 0.500 0.500



No. 5
DFT (PBE) results for an optimized crystal structure of ZnSe2Br.

D(E_F): 2.8 states/eV/cell
Crystal system: orthorhombic
Formation energy (no corrections): 0.43 eV/f.u.
Polymorph energy (0 for the lowest one): 399 meV per atom
DFT total energy: -9.48 eV per cell
Space group: Pmmm

Cell: 3.473 3.531 7.555 Å, 90.00 90.00 90.00°
Sites, in units of the cell vectors:
Zn1 0.000 0.000 0.000
Se1 0.500 0.500 0.165
Se2 0.500 0.500 0.835
Br1 0.000 0.000 0.500



No. 6
DFT (PBE) results for an optimized crystal structure of Ho3Al3Zn2.

D(E_F): 10.6 states/eV/cell
Formation energy: -428.8 meV/atom
Crystal system: orthorhombic
DFT total energy: -61.88 eV per cell
Space group: Cmcm

Cell: 5.720 5.720 14.673 Å, 90.00 90.00 134.43°
Sites, in units of the cell vectors:
Ho1 0.089 0.911 0.611
Ho2 0.089 0.911 0.889
Ho3 0.362 0.638 0.750
Ho4 0.638 0.362 0.250
Ho5 0.911 0.089 0.111
Ho6 0.911 0.089 0.389
Al1 0.345 0.655 0.250
Al2 0.385 0.615 0.539
Al3 0.385 0.615 0.961
Al4 0.615 0.385 0.039
Al5 0.615 0.385 0.461
Al6 0.655 0.345 0.750
Zn1 0.206 0.794 0.101
Zn2 0.206 0.794 0.399
Zn3 0.794 0.206 0.601
Zn4 0.794 0.206 0.899



No. 7
DFT (PBE) results for an optimized crystal structure of Na8PbAu2.

D(E_F): 6.1 states/eV/cell
Formation energy: -183.8 meV/atom
Crystal system: triclinic
Polymorph energy (0 for the lowest one): 0 meV per atom
DFT total energy: -22.84 eV per cell
Space group: P1

Cell: 5.425 6.942 9.314 Å, 111.55 106.66 90.77°
Sites, in units of the cell vectors:
Na1 0.000 0.000 0.000
Na2 0.021 0.498 0.042
Na3 0.230 0.386 0.445
Na4 0.353 0.896 0.653
Na5 0.438 0.593 0.860
Na6 0.631 0.109 0.264
Na7 0.653 0.652 0.306
Na8 0.868 0.146 0.653
Pb1 0.840 0.610 0.653
Au1 0.154 0.916 0.319
Au2 0.487 0.249 0.987



No. 8
DFT (PBE) results for an optimized crystal structure of CePa2W.

D(E_F): 20.6 states/eV/cell
Formation energy: 356.9 meV/atom
Crystal system: trigonal
DFT total energy: -109.35 eV per cell
Space group: R-3m

Cell: 3.033 3.033 33.553 Å, 90.00 90.00 120.00°
Sites, in units of the cell vectors:
Ce1 0.000 0.000 0.000
Ce2 0.333 0.667 0.667
Ce3 0.667 0.333 0.333
Pa1 0.000 0.000 0.090
Pa2 0.000 0.000 0.910
Pa3 0.333 0.667 0.577
Pa4 0.333 0.667 0.756
Pa5 0.667 0.333 0.244
Pa6 0.667 0.333 0.423
W1 0.000 0.000 0.500
W2 0.333 0.667 0.167
W3 0.667 0.333 0.833



No. 9
DFT (PBE) results for an optimized crystal structure of In3W.

D(E_F): 1.9 states/eV/cell
Formation energy: 718.3 meV/atom
Crystal system: cubic
Polymorph energy (0 for the lowest one): 247 meV per atom
DFT total energy: -18.30 eV per cell
Space group: Pm-3m

Cell: 4.379 4.379 4.379 Å, 90.00 90.00 90.00°
Sites, in units of the cell vectors:
In1 0.000 0.000 0.500
In2 0.000 0.500 0.000
In3 0.500 0.000 0.000
W1 0.500 0.500 0.500